Record 1
First-principles (PBE-GGA) data for ErVGa2 after structural relaxation, as listed in Alexandria via LeMat-Bulk.

## Properties
- Symmetry: P4/mmm, No. 123
- Spin magnetization: 0.001 μB per atom
- Calculated formation energy: -0.24 eV per atom
- Energy relative to the lowest polymorph listed for this composition: 0.000 eV per atom

Cell lengths 3.3926, 3.3926, 6.2356 Å; angles 90.00, 90.00, 90.00 degrees
Last column: nearest neighbours and their distance in Å.
Atoms (fractional coordinates):
Ga 0.0000 0.0000 0.7974  1 Ga 2.53, 4 V 2.71
Ga 0.0000 0.0000 0.2026  1 Ga 2.53, 4 V 2.71
Er 0.5000 0.5000 0.5000  8 Ga 3.03, 2 V 3.12, 4 Er 3.39
V 0.5000 0.5000 0.0000  8 Ga 2.71

Record 2
First-principles (PBE-GGA) data for ErV2Ga4 after structural relaxation, as listed in Alexandria via LeMat-Bulk.

## Properties
- Symmetry: Immm, No. 71
- Spin magnetization: 0.000 μB per atom
- Calculated formation energy: -0.40 eV per atom

Cell lengths 5.2253, 5.3522, 5.3522 Å; angles 76.35, 60.77, 60.77 degrees
Last column: nearest neighbours and their distance in Å.
Atoms (fractional coordinates):
V 0.2510 0.5001 0.5001  2 V 2.60-2.62, 8 Ga 2.72
V 0.7490 0.4999 0.4999  2 V 2.60-2.62, 8 Ga 2.72
Ga 0.3028 0.3942 0.0003  4 Ga 2.60-2.79, 4 V 2.72, 1 Er 2.83
Ga 0.6972 0.6058 0.9997  4 Ga 2.60-2.79, 4 V 2.72, 1 Er 2.83
Ga 0.6972 0.9997 0.6058  4 Ga 2.60-2.79, 4 V 2.72, 1 Er 2.83
Ga 0.3028 0.0003 0.3942  4 Ga 2.60-2.79, 4 V 2.72, 1 Er 2.83
Er 0.0000 0.0000 0.0000  4 Ga 2.83

Record 3
First-principles (PBE-GGA) data for ErVGa2 after structural relaxation, as listed in Alexandria via LeMat-Bulk.

## Properties
- Symmetry: R-3m, No. 166
- Spin magnetization: 0.726 μB per atom
- Calculated formation energy: -0.21 eV per atom
- Energy relative to the lowest polymorph listed for this composition: 0.027 eV per atom

Cell lengths 4.3351, 4.3351, 5.5018 Å; angles 66.80, 66.80, 60.00 degrees
Last column: nearest neighbours and their distance in Å.
Atoms (fractional coordinates):
Ga 0.2814 0.2814 0.1557  3 V 2.62
Ga 0.7186 0.7186 0.8443  3 V 2.62
V 0.0000 0.0000 0.0000  6 Ga 2.62
Er 0.5000 0.5000 0.5000  8 Ga 3.02-3.21